No. 1
Ac6InGa: relaxed, PBE.

Cell lengths 7.5596, 7.7244, 7.5979 Å; angles 59.45, 77.11, 63.96 degrees
Closest atoms and distances in Å follow each position.
Fractional coordinates of all 8 atoms:
Ac 0.7452 0.7365 0.0000  1 Ga 3.12, 1 In 3.36
Ac 0.2502 0.5254 0.3895  1 Ga 3.18, 1 In 3.34
Ac 0.7498 0.0851 0.3895  1 Ga 3.18, 1 In 3.34
Ac 0.2548 0.2635 0.0000  1 Ga 3.12, 1 In 3.36
Ac 0.2502 0.9149 0.6105  1 Ga 3.18, 1 In 3.34
Ac 0.7498 0.4746 0.6105  1 Ga 3.18, 1 In 3.34
In 0.0000 0.0000 0.0000  6 Ac 3.34-3.36
Ga 0.5000 0.5000 0.0000  6 Ac 3.12-3.18

Calculated values
ΔE_f   0.0082 eV per atom
Polymorph energy (0 for the lowest one)   191 meV/atom

---

No. 2
RbBaHPd2: relaxed, PBE.

Cell lengths 5.7480, 5.1294, 5.7480 Å; angles 90.00, 90.00, 90.00 degrees
Closest atoms and distances in Å follow each position.
Fractional coordinates of all 5 atoms:
Pd 0.5000 0.0000 0.0000  2 Ba 2.87
Pd 0.0000 0.0000 0.5000  2 Ba 2.87
Rb 0.5000 0.5000 0.5000  8 Pd 3.85, 4 H 4.06
Ba 0.0000 0.0000 0.0000  2 H 2.56
H 0.0000 0.5000 0.0000  2 Ba 2.56

Calculated values
Calculated total energy   -2.94 eV per atom

---

no.,total magnetization (μB per formula unit)
1,0.00
2,0.00